Below is a geometry-optimized TaMoPb structure, with properties calculated at the PBE level.

Summary:
* ΔH_f (0 K): 0.441 eV/atom
* total magnetization: 0.00 μB per formula unit
* calculated total energy: -8.36 eV/atom

a b c (Å): 7.4878 7.2256 3.0783
angles (deg): 82.74 73.19 24.07
Element x y z (fractional)
Mo 0.0112 0.0112 0.9888
Pb 0.3362 0.3362 0.6638
Ta 0.6526 0.6526 0.3474